No. 1
Material: DyZn4
Method: DFT, GGA-PBE
State: relaxed

Energy of formation from the pure elements in meV/atom: 903

a b c (Å): 5.653 5.653 5.653
angles (deg): 90.00 90.00 90.00
Space group Pm-3m (No. 221)
Inequivalent atoms, fractional coordinates:
Dy (0.000, 0.000, 0.000)
Zn (0.000, 0.000, 0.500)
Zn (0.500, 0.500, 0.500)

No. 2
Material: Dy3Zn
Method: DFT, GGA-PBE
State: relaxed

Energy of formation from the pure elements in meV/atom: -147
Excess energy over the best structure of this formula in the dataset in meV/atom: 14

a b c (Å): 3.676 5.255 11.284
angles (deg): 90.00 90.00 90.00
Space group Immm (No. 71)
Inequivalent atoms, fractional coordinates:
Dy (0.000, 0.000, 0.000)
Dy (0.000, 0.500, 0.213)
Zn (0.000, 0.000, 0.500)

No. 3
Material: Dy3Zn
Method: DFT, GGA-PBE
State: relaxed

Energy of formation from the pure elements in meV/atom: -14
Excess energy over the best structure of this formula in the dataset in meV/atom: 147

a b c (Å): 4.688 4.688 9.612
angles (deg): 90.00 90.00 90.00
Space group I4/mmm (No. 139)
Inequivalent atoms, fractional coordinates:
Dy (0.000, 0.000, 0.000)
Dy (0.000, 0.500, 0.250)
Zn (0.000, 0.000, 0.500)

No. 4
Material: Dy5Zn6
Method: DFT, GGA-PBE
State: relaxed

Energy of formation from the pure elements in meV/atom: -194

a b c (Å): 4.962 7.097 14.894
angles (deg): 90.00 90.00 90.00
Space group Immm (No. 71)
Inequivalent atoms, fractional coordinates:
Dy (0.000, 0.000, 0.000)
Dy (0.000, 0.000, 0.344)
Dy (0.000, 0.500, 0.329)
Zn (0.000, 0.257, 0.162)
Zn (0.000, 0.264, 0.500)